# CaCo2AsP

A geometry-optimized CaCo2AsP structure (PBE, the Alexandria database).

abc: 4.2108 4.2108 5.1882
angles: 90.00 90.00 90.00
Last column: nearest neighbours and their distance in Å.
Space group P4/mmm (No. 123)
Inequivalent atoms, fractional coordinates:
Ca 0.0000 0.0000 0.0000 [1 per cell]  4 As 2.98
Co 0.0000 0.5000 0.5000 [2 per cell]  2 P 2.11
As 0.5000 0.5000 0.0000 [1 per cell]  2 P 2.59
P 0.5000 0.5000 0.5000 [1 per cell]  4 Co 2.11

## Properties
The calculation puts the energy of formation from the pure elements at -0.03 eV/atom.

# Li2Mg2Al15

A geometry-optimized Li2Mg2Al15 structure (PBE, the Alexandria database).

abc: 9.3045 9.3045 13.8765
angles: 90.00 90.00 120.00
Last column: nearest neighbours and their distance in Å.
Space group R-3m (No. 166, hexagonal axes)
Inequivalent atoms, fractional coordinates:
Li 0.0000 0.0000 0.1000 [6 per cell]  1 Li 2.78, 6 Al 2.84-2.97
Mg 0.0000 0.0000 0.3543 [6 per cell]  12 Al 3.19-3.49, 1 Li 3.53
Al 0.0000 0.2997 0.0000 [18 per cell]  8 Al 2.71-2.93
Al 0.0000 0.5000 0.5000 [9 per cell]  8 Al 2.71-2.72, 2 Li 2.84
Al 0.0047 0.5023 0.1488 [18 per cell]  8 Al 2.69-2.93, 1 Li 2.97

## Properties
The calculation puts the energy of formation from the pure elements at 0.04 eV/atom.

# AcSm2Dy6

A geometry-optimized AcSm2Dy6 structure (PBE, the Alexandria database).

abc: 3.6332 3.6332 26.6465
angles: 90.00 90.00 120.00
Last column: nearest neighbours and their distance in Å.
Space group P-6m2 (No. 187)
Inequivalent atoms, fractional coordinates:
Ac 0.0000 0.0000 0.0000 [1 per cell]  6 Ac 3.63, 6 Dy 3.75
Sm 0.3333 0.6667 0.3315 [2 per cell]  6 Dy 3.50-3.61, 6 Sm 3.63
Dy 0.0000 0.0000 0.2210 [2 per cell]  9 Dy 3.48-3.63, 3 Sm 3.61
Dy 0.0000 0.0000 0.4368 [2 per cell]  7 Dy 3.37-3.63, 3 Sm 3.50
Dy 0.3333 0.6667 0.1169 [2 per cell]  9 Dy 3.48-3.63, 3 Ac 3.75

## Properties
For the relative energy among the computed polymorphs, the calculation gives 0.0 meV per atom. The calculation puts the energy of formation from the pure elements at 0.08 eV/atom.

# Dy4CuOs

A geometry-optimized Dy4CuOs structure (PBE, the Alexandria database).

abc: 6.8682 6.8709 6.8813
angles: 90.00 92.19 90.00
Last column: nearest neighbours and their distance in Å.
Space group P2_1/c (No. 14)
Inequivalent atoms, fractional coordinates:
Dy 0.1562 0.1625 0.1732 [4 per cell]  2 Os 2.76-2.80, 1 Cu 2.91
Dy 0.3310 0.6627 0.1525 [4 per cell]  1 Os 2.71, 2 Cu 2.81-2.85
Cu 0.5000 0.0000 0.0000 [2 per cell]  6 Dy 2.81-2.91
Os 0.0000 0.0000 0.5000 [2 per cell]  6 Dy 2.71-2.80

## Properties
For the relative energy among the computed polymorphs, the calculation gives 53.2 meV per atom. The calculation puts the energy of formation from the pure elements at -0.11 eV/atom.

no.,DFT total energy (eV/atom)
1,-5.28
2,-3.28
3,-4.49
4,-5.73